A relaxed structure of LaUAl. Source: OQMD, functional GGA-PBE.

The structure in CIF format:
```
data_LaUAl
_cell_length_a 7.125
_cell_length_b 7.125
_cell_length_c 7.125
_cell_angle_alpha 90.00
_cell_angle_beta 90.00
_cell_angle_gamma 90.00
_symmetry_space_group_name_H-M 'F -4 3 m'
_symmetry_Int_Tables_number 216
_symmetry_space_group_name_Hall 'F -4 2 3'
loop_
_atom_site_label
_atom_site_type_symbol
_atom_site_fract_x
_atom_site_fract_y
_atom_site_fract_z
_atom_site_occupancy
La1 La 0.000 0.000 0.000 1
U1 U 0.000 0.000 0.500 1
Al1 Al 0.250 0.250 0.250 1
```

Output
Offset from the most stable computed form, eV per formula unit: 0.00


A relaxed structure of LaAlW. Source: OQMD, functional GGA-PBE.

The structure in CIF format:
```
data_LaAlW
_cell_length_a 6.937
_cell_length_b 6.937
_cell_length_c 6.937
_cell_angle_alpha 90.00
_cell_angle_beta 90.00
_cell_angle_gamma 90.00
_symmetry_space_group_name_H-M 'F -4 3 m'
_symmetry_Int_Tables_number 216
_symmetry_space_group_name_Hall 'F -4 2 3'
loop_
_atom_site_label
_atom_site_type_symbol
_atom_site_fract_x
_atom_site_fract_y
_atom_site_fract_z
_atom_site_occupancy
La1 La 0.000 0.000 0.000 1
Al1 Al 0.250 0.250 0.750 1
W1 W 0.250 0.250 0.250 1
```

Output
Offset from the most stable computed form, eV per formula unit: 2.46


A relaxed structure of LaAlW. Source: OQMD, functional GGA-PBE.

The structure in CIF format:
```
data_LaAlW
_cell_length_a 6.515
_cell_length_b 6.515
_cell_length_c 6.515
_cell_angle_alpha 90.00
_cell_angle_beta 90.00
_cell_angle_gamma 90.00
_symmetry_space_group_name_H-M 'F -4 3 m'
_symmetry_Int_Tables_number 216
_symmetry_space_group_name_Hall 'F -4 2 3'
loop_
_atom_site_label
_atom_site_type_symbol
_atom_site_fract_x
_atom_site_fract_y
_atom_site_fract_z
_atom_site_occupancy
La1 La 0.000 0.000 0.000 1
Al1 Al 0.000 0.000 0.500 1
W1 W 0.250 0.250 0.750 1
```

Output
Offset from the most stable computed form, eV per formula unit: 0.00


A relaxed structure of LaAlZn. Source: OQMD, functional GGA-PBE.

The structure in CIF format:
```
data_LaAlZn
_cell_length_a 7.016
_cell_length_b 7.016
_cell_length_c 7.016
_cell_angle_alpha 90.00
_cell_angle_beta 90.00
_cell_angle_gamma 90.00
_symmetry_space_group_name_H-M 'F -4 3 m'
_symmetry_Int_Tables_number 216
_symmetry_space_group_name_Hall 'F -4 2 3'
loop_
_atom_site_label
_atom_site_type_symbol
_atom_site_fract_x
_atom_site_fract_y
_atom_site_fract_z
_atom_site_occupancy
La1 La 0.000 0.000 0.000 1
Al1 Al 0.250 0.250 0.750 1
Zn1 Zn 0.250 0.250 0.250 1
```


A relaxed structure of LaAlZn. Source: OQMD, functional GGA-PBE.

The structure in CIF format:
```
data_LaAlZn
_cell_length_a 6.783
_cell_length_b 6.783
_cell_length_c 6.783
_cell_angle_alpha 90.00
_cell_angle_beta 90.00
_cell_angle_gamma 90.00
_symmetry_space_group_name_H-M 'F -4 3 m'
_symmetry_Int_Tables_number 216
_symmetry_space_group_name_Hall 'F -4 2 3'
loop_
_atom_site_label
_atom_site_type_symbol
_atom_site_fract_x
_atom_site_fract_y
_atom_site_fract_z
_atom_site_occupancy
La1 La 0.000 0.000 0.000 1
Al1 Al 0.250 0.250 0.250 1
Zn1 Zn 0.000 0.000 0.500 1
```


A relaxed structure of LiLuAl. Source: OQMD, functional GGA-PBE.

The structure in CIF format:
```
data_LiLuAl
_cell_length_a 6.735
_cell_length_b 6.735
_cell_length_c 6.735
_cell_angle_alpha 90.00
_cell_angle_beta 90.00
_cell_angle_gamma 90.00
_symmetry_space_group_name_H-M 'F -4 3 m'
_symmetry_Int_Tables_number 216
_symmetry_space_group_name_Hall 'F -4 2 3'
loop_
_atom_site_label
_atom_site_type_symbol
_atom_site_fract_x
_atom_site_fract_y
_atom_site_fract_z
_atom_site_occupancy
Li1 Li 0.000 0.000 0.000 1
Lu1 Lu 0.000 0.000 0.500 1
Al1 Al 0.250 0.250 0.250 1
```

Output
Offset from the most stable computed form, eV per formula unit: 0.00


A relaxed structure of LiLuAl. Source: OQMD, functional GGA-PBE.

The structure in CIF format:
```
data_LiLuAl
_cell_length_a 6.800
_cell_length_b 6.800
_cell_length_c 6.800
_cell_angle_alpha 90.00
_cell_angle_beta 90.00
_cell_angle_gamma 90.00
_symmetry_space_group_name_H-M 'F -4 3 m'
_symmetry_Int_Tables_number 216
_symmetry_space_group_name_Hall 'F -4 2 3'
loop_
_atom_site_label
_atom_site_type_symbol
_atom_site_fract_x
_atom_site_fract_y
_atom_site_fract_z
_atom_site_occupancy
Li1 Li 0.000 0.000 0.000 1
Lu1 Lu 0.250 0.250 0.750 1
Al1 Al 0.000 0.000 0.500 1
```

Output
Offset from the most stable computed form, eV per formula unit: 0.95


A relaxed structure of Li2Mg2Al2NiPd. Source: OQMD, functional GGA-PBE.

The structure in CIF format:
```
data_Li2Mg2Al2NiPd
_cell_length_a 4.358
_cell_length_b 4.358
_cell_length_c 6.172
_cell_angle_alpha 90.00
_cell_angle_beta 90.00
_cell_angle_gamma 90.00
_symmetry_space_group_name_H-M 'P -4 m 2'
_symmetry_Int_Tables_number 115
loop_
_symmetry_equiv_pos_as_xyz
'x,y,z'
'y,-x,-z'
'-x,-y,z'
'-y,x,-z'
'-x,y,z'
'-y,-x,-z'
'x,-y,z'
'y,x,-z'
loop_
_atom_site_label
_atom_site_type_symbol
_atom_site_fract_x
_atom_site_fract_y
_atom_site_fract_z
_atom_site_occupancy
Li1 Li 0.000 0.000 0.000 1
Li2 Li 0.500 0.500 0.500 1
Mg1 Mg 0.000 0.500 0.241 1
Al1 Al 0.000 0.500 0.761 1
Ni1 Ni 0.500 0.500 0.000 1
Pd1 Pd 0.000 0.000 0.500 1
```


A relaxed structure of Li2Mg2Al2NiPt. Source: OQMD, functional GGA-PBE.

The structure in CIF format:
```
data_Li2Mg2Al2NiPt
_cell_length_a 4.356
_cell_length_b 4.356
_cell_length_c 6.138
_cell_angle_alpha 90.00
_cell_angle_beta 90.00
_cell_angle_gamma 90.00
_symmetry_space_group_name_H-M 'P -4 m 2'
_symmetry_Int_Tables_number 115
loop_
_symmetry_equiv_pos_as_xyz
'x,y,z'
'y,-x,-z'
'-x,-y,z'
'-y,x,-z'
'-x,y,z'
'-y,-x,-z'
'x,-y,z'
'y,x,-z'
loop_
_atom_site_label
_atom_site_type_symbol
_atom_site_fract_x
_atom_site_fract_y
_atom_site_fract_z
_atom_site_occupancy
Li1 Li 0.000 0.000 0.000 1
Li2 Li 0.500 0.500 0.500 1
Mg1 Mg 0.000 0.500 0.240 1
Al1 Al 0.000 0.500 0.756 1
Ni1 Ni 0.500 0.500 0.000 1
Pt1 Pt 0.000 0.000 0.500 1
```


A relaxed structure of Li2MgAl2NiPt2. Source: OQMD, functional GGA-PBE.

The structure in CIF format:
```
data_Li2MgAl2NiPt2
_cell_length_a 4.193
_cell_length_b 4.193
_cell_length_c 6.236
_cell_angle_alpha 90.00
_cell_angle_beta 90.00
_cell_angle_gamma 90.00
_symmetry_space_group_name_H-M 'P -4 m 2'
_symmetry_Int_Tables_number 115
loop_
_symmetry_equiv_pos_as_xyz
'x,y,z'
'y,-x,-z'
'-x,-y,z'
'-y,x,-z'
'-x,y,z'
'-y,-x,-z'
'x,-y,z'
'y,x,-z'
loop_
_atom_site_label
_atom_site_type_symbol
_atom_site_fract_x
_atom_site_fract_y
_atom_site_fract_z
_atom_site_occupancy
Li1 Li 0.000 0.500 0.235 1
Mg1 Mg 0.000 0.000 0.500 1
Al1 Al 0.000 0.500 0.778 1
Ni1 Ni 0.500 0.500 0.000 1
Pt1 Pt 0.000 0.000 0.000 1
Pt2 Pt 0.500 0.500 0.500 1
```


A relaxed structure of Li2Mg2AlZnNi2. Source: OQMD, functional GGA-PBE.

The structure in CIF format:
```
data_Li2Mg2AlZnNi2
_cell_length_a 4.290
_cell_length_b 4.290
_cell_length_c 6.070
_cell_angle_alpha 90.00
_cell_angle_beta 90.00
_cell_angle_gamma 90.00
_symmetry_space_group_name_H-M 'P -4 m 2'
_symmetry_Int_Tables_number 115
loop_
_symmetry_equiv_pos_as_xyz
'x,y,z'
'y,-x,-z'
'-x,-y,z'
'-y,x,-z'
'-x,y,z'
'-y,-x,-z'
'x,-y,z'
'y,x,-z'
loop_
_atom_site_label
_atom_site_type_symbol
_atom_site_fract_x
_atom_site_fract_y
_atom_site_fract_z
_atom_site_occupancy
Li1 Li 0.000 0.500 0.244 1
Mg1 Mg 0.000 0.000 0.000 1
Mg2 Mg 0.500 0.500 0.500 1
Al1 Al 0.000 0.000 0.500 1
Zn1 Zn 0.500 0.500 0.000 1
Ni1 Ni 0.000 0.500 0.740 1
```


A relaxed structure of LiMgTa2Al2Os2. Source: OQMD, functional GGA-PBE.

The structure in CIF format:
```
data_LiMgTa2Al2Os2
_cell_length_a 4.402
_cell_length_b 4.402
_cell_length_c 6.268
_cell_angle_alpha 90.00
_cell_angle_beta 90.00
_cell_angle_gamma 90.00
_symmetry_space_group_name_H-M 'P -4 m 2'
_symmetry_Int_Tables_number 115
loop_
_symmetry_equiv_pos_as_xyz
'x,y,z'
'y,-x,-z'
'-x,-y,z'
'-y,x,-z'
'-x,y,z'
'-y,-x,-z'
'x,-y,z'
'y,x,-z'
loop_
_atom_site_label
_atom_site_type_symbol
_atom_site_fract_x
_atom_site_fract_y
_atom_site_fract_z
_atom_site_occupancy
Li1 Li 0.000 0.000 0.000 1
Mg1 Mg 0.500 0.500 0.500 1
Ta1 Ta 0.000 0.500 0.757 1
Al1 Al 0.000 0.500 0.240 1
Os1 Os 0.000 0.000 0.500 1
Os2 Os 0.500 0.500 0.000 1
```


A relaxed structure of Li2Mg2Al2PdPt. Source: OQMD, functional GGA-PBE.

The structure in CIF format:
```
data_Li2Mg2Al2PdPt
_cell_length_a 4.414
_cell_length_b 4.414
_cell_length_c 6.220
_cell_angle_alpha 90.00
_cell_angle_beta 90.00
_cell_angle_gamma 90.00
_symmetry_space_group_name_H-M 'P -4 m 2'
_symmetry_Int_Tables_number 115
loop_
_symmetry_equiv_pos_as_xyz
'x,y,z'
'y,-x,-z'
'-x,-y,z'
'-y,x,-z'
'-x,y,z'
'-y,-x,-z'
'x,-y,z'
'y,x,-z'
loop_
_atom_site_label
_atom_site_type_symbol
_atom_site_fract_x
_atom_site_fract_y
_atom_site_fract_z
_atom_site_occupancy
Li1 Li 0.000 0.000 0.000 1
Li2 Li 0.500 0.500 0.500 1
Mg1 Mg 0.000 0.500 0.250 1
Al1 Al 0.000 0.500 0.745 1
Pd1 Pd 0.500 0.500 0.000 1
Pt1 Pt 0.000 0.000 0.500 1
```


A relaxed structure of Li2MgScAl2Pd2. Source: OQMD, functional GGA-PBE.

The structure in CIF format:
```
data_Li2MgScAl2Pd2
_cell_length_a 4.469
_cell_length_b 4.469
_cell_length_c 6.325
_cell_angle_alpha 90.00
_cell_angle_beta 90.00
_cell_angle_gamma 90.00
_symmetry_space_group_name_H-M 'P -4 m 2'
_symmetry_Int_Tables_number 115
loop_
_symmetry_equiv_pos_as_xyz
'x,y,z'
'y,-x,-z'
'-x,-y,z'
'-y,x,-z'
'-x,y,z'
'-y,-x,-z'
'x,-y,z'
'y,x,-z'
loop_
_atom_site_label
_atom_site_type_symbol
_atom_site_fract_x
_atom_site_fract_y
_atom_site_fract_z
_atom_site_occupancy
Li1 Li 0.000 0.500 0.234 1
Mg1 Mg 0.500 0.500 0.000 1
Sc1 Sc 0.000 0.000 0.500 1
Al1 Al 0.000 0.000 0.000 1
Al2 Al 0.500 0.500 0.500 1
Pd1 Pd 0.000 0.500 0.750 1
```


A relaxed structure of Li2Mg2AlSiPd2. Source: OQMD, functional GGA-PBE.

The structure in CIF format:
```
data_Li2Mg2AlSiPd2
_cell_length_a 4.385
_cell_length_b 4.385
_cell_length_c 6.206
_cell_angle_alpha 90.00
_cell_angle_beta 90.00
_cell_angle_gamma 90.00
_symmetry_space_group_name_H-M 'P -4 m 2'
_symmetry_Int_Tables_number 115
loop_
_symmetry_equiv_pos_as_xyz
'x,y,z'
'y,-x,-z'
'-x,-y,z'
'-y,x,-z'
'-x,y,z'
'-y,-x,-z'
'x,-y,z'
'y,x,-z'
loop_
_atom_site_label
_atom_site_type_symbol
_atom_site_fract_x
_atom_site_fract_y
_atom_site_fract_z
_atom_site_occupancy
Li1 Li 0.000 0.500 0.242 1
Mg1 Mg 0.000 0.000 0.000 1
Mg2 Mg 0.500 0.500 0.500 1
Al1 Al 0.000 0.000 0.500 1
Si1 Si 0.500 0.500 0.000 1
Pd1 Pd 0.000 0.500 0.756 1
```


A relaxed structure of Li2Mg2AlSnPd2. Source: OQMD, functional GGA-PBE.

The structure in CIF format:
```
data_Li2Mg2AlSnPd2
_cell_length_a 4.498
_cell_length_b 4.498
_cell_length_c 6.414
_cell_angle_alpha 90.00
_cell_angle_beta 90.00
_cell_angle_gamma 90.00
_symmetry_space_group_name_H-M 'P -4 m 2'
_symmetry_Int_Tables_number 115
loop_
_symmetry_equiv_pos_as_xyz
'x,y,z'
'y,-x,-z'
'-x,-y,z'
'-y,x,-z'
'-x,y,z'
'-y,-x,-z'
'x,-y,z'
'y,x,-z'
loop_
_atom_site_label
_atom_site_type_symbol
_atom_site_fract_x
_atom_site_fract_y
_atom_site_fract_z
_atom_site_occupancy
Li1 Li 0.000 0.500 0.239 1
Mg1 Mg 0.000 0.000 0.000 1
Mg2 Mg 0.500 0.500 0.500 1
Al1 Al 0.500 0.500 0.000 1
Sn1 Sn 0.000 0.000 0.500 1
Pd1 Pd 0.000 0.500 0.766 1
```


A relaxed structure of Li2Mg2AlTlPd2. Source: OQMD, functional GGA-PBE.

The structure in CIF format:
```
data_Li2Mg2AlTlPd2
_cell_length_a 4.516
_cell_length_b 4.516
_cell_length_c 6.505
_cell_angle_alpha 90.00
_cell_angle_beta 90.00
_cell_angle_gamma 90.00
_symmetry_space_group_name_H-M 'P -4 m 2'
_symmetry_Int_Tables_number 115
loop_
_symmetry_equiv_pos_as_xyz
'x,y,z'
'y,-x,-z'
'-x,-y,z'
'-y,x,-z'
'-x,y,z'
'-y,-x,-z'
'x,-y,z'
'y,x,-z'
loop_
_atom_site_label
_atom_site_type_symbol
_atom_site_fract_x
_atom_site_fract_y
_atom_site_fract_z
_atom_site_occupancy
Li1 Li 0.000 0.500 0.238 1
Mg1 Mg 0.000 0.000 0.000 1
Mg2 Mg 0.500 0.500 0.500 1
Al1 Al 0.500 0.500 0.000 1
Tl1 Tl 0.000 0.000 0.500 1
Pd1 Pd 0.000 0.500 0.779 1
```


A relaxed structure of Li2Mg2AlZnPd2. Source: OQMD, functional GGA-PBE.

The structure in CIF format:
```
data_Li2Mg2AlZnPd2
_cell_length_a 4.426
_cell_length_b 4.426
_cell_length_c 6.249
_cell_angle_alpha 90.00
_cell_angle_beta 90.00
_cell_angle_gamma 90.00
_symmetry_space_group_name_H-M 'P -4 m 2'
_symmetry_Int_Tables_number 115
loop_
_symmetry_equiv_pos_as_xyz
'x,y,z'
'y,-x,-z'
'-x,-y,z'
'-y,x,-z'
'-x,y,z'
'-y,-x,-z'
'x,-y,z'
'y,x,-z'
loop_
_atom_site_label
_atom_site_type_symbol
_atom_site_fract_x
_atom_site_fract_y
_atom_site_fract_z
_atom_site_occupancy
Li1 Li 0.000 0.500 0.245 1
Mg1 Mg 0.000 0.000 0.000 1
Mg2 Mg 0.500 0.500 0.500 1
Al1 Al 0.000 0.000 0.500 1
Zn1 Zn 0.500 0.500 0.000 1
Pd1 Pd 0.000 0.500 0.738 1
```


A relaxed structure of Li4MgAl2Pt. Source: OQMD, functional GGA-PBE.

The structure in CIF format:
```
data_Li4MgAl2Pt
_cell_length_a 4.396
_cell_length_b 4.396
_cell_length_c 6.415
_cell_angle_alpha 90.00
_cell_angle_beta 90.00
_cell_angle_gamma 90.00
_symmetry_space_group_name_H-M 'P -4 m 2'
_symmetry_Int_Tables_number 115
loop_
_symmetry_equiv_pos_as_xyz
'x,y,z'
'y,-x,-z'
'-x,-y,z'
'-y,x,-z'
'-x,y,z'
'-y,-x,-z'
'x,-y,z'
'y,x,-z'
loop_
_atom_site_label
_atom_site_type_symbol
_atom_site_fract_x
_atom_site_fract_y
_atom_site_fract_z
_atom_site_occupancy
Li1 Li 0.000 0.000 0.000 1
Li2 Li 0.000 0.500 0.729 1
Li3 Li 0.500 0.500 0.500 1
Mg1 Mg 0.500 0.500 0.000 1
Al1 Al 0.000 0.500 0.289 1
Pt1 Pt 0.000 0.000 0.500 1
```


A relaxed structure of Li2Mg3AlPt2. Source: OQMD, functional GGA-PBE.

The structure in CIF format:
```
data_Li2Mg3AlPt2
_cell_length_a 4.462
_cell_length_b 4.462
_cell_length_c 6.325
_cell_angle_alpha 90.00
_cell_angle_beta 90.00
_cell_angle_gamma 90.00
_symmetry_space_group_name_H-M 'P -4 m 2'
_symmetry_Int_Tables_number 115
loop_
_symmetry_equiv_pos_as_xyz
'x,y,z'
'y,-x,-z'
'-x,-y,z'
'-y,x,-z'
'-x,y,z'
'-y,-x,-z'
'x,-y,z'
'y,x,-z'
loop_
_atom_site_label
_atom_site_type_symbol
_atom_site_fract_x
_atom_site_fract_y
_atom_site_fract_z
_atom_site_occupancy
Li1 Li 0.000 0.500 0.241 1
Mg1 Mg 0.000 0.000 0.000 1
Mg2 Mg 0.000 0.000 0.500 1
Mg3 Mg 0.500 0.500 0.500 1
Al1 Al 0.500 0.500 0.000 1
Pt1 Pt 0.000 0.500 0.767 1
```


The calculation returns the following final energy values, one per record and in order: -6.063 -5.661 -6.480 -3.074 -3.469 -3.200 -2.885 -3.581 -3.773 -4.475 -3.135 -7.482 -3.861 -4.297 -3.849 -3.708 -3.415 -3.314 -3.234 -3.733 eV per atom.